No. 1
A plane-wave DFT calculation with PBE was carried out for a geometry-optimized LaCoC2 structure.

Geometry as extended XYZ:
```
8
Lattice="-0.954 2.751 -2.537 -0.256 -2.661 -2.788 -6.675 -1.006 3.122" Properties=species:S:1:pos:R:3 pbc="T T T"
C -1.595 0.963 -3.813
C -5.950 -1.064 -2.648
C -4.682 -1.487 -2.342
C -2.719 0.262 -4.170
La -5.878 -1.171 0.152
La -2.644 0.129 -1.372
Co -0.909 2.369 -2.551
Co -3.647 -2.783 -1.206
```

---

No. 2
A plane-wave DFT calculation with PBE was carried out for a geometry-optimized La3Co2C2N3 structure.

Geometry as extended XYZ:
```
10
Lattice="0.281 -1.355 10.294 2.742 3.120 9.520 -3.749 0.387 -9.679" Properties=species:S:1:pos:R:3 pbc="T T T"
N 2.638 1.540 17.285
N 1.512 0.883 9.907
N 0.386 0.225 2.530
La 1.115 0.651 7.308
La 1.909 1.114 12.507
La 0.000 0.000 0.000
C 2.428 1.418 15.911
C 0.596 0.348 3.904
Co -0.978 -0.042 5.261
Co 0.253 2.195 4.874
```

---

No. 3
A plane-wave DFT calculation with PBE was carried out for a geometry-optimized La2NdCo2C2N3 structure.

Geometry as extended XYZ:
```
10
Lattice="6.097 2.668 7.857 2.217 6.017 8.057 -5.450 -5.932 -6.414" Properties=species:S:1:pos:R:3 pbc="T T T"
La 3.076 3.213 5.887
La 5.238 5.472 10.027
Co 0.462 2.214 4.800
Co 2.402 0.539 4.700
N 1.048 1.095 2.007
N 7.266 7.590 13.908
N 4.157 4.342 7.957
Nd 0.000 0.000 0.000
C 6.682 6.980 12.791
C 1.632 1.705 3.123
```

---

No. 4
A plane-wave DFT calculation with PBE was carried out for a geometry-optimized LaNd2Co2C2N3 structure.

Geometry as extended XYZ:
```
10
Lattice="-1.798 1.798 10.012 1.798 -1.798 10.012 1.798 1.798 -10.012" Properties=species:S:1:pos:R:3 pbc="T T T"
La 0.000 0.000 0.000
C 0.000 0.000 16.088
C 0.000 0.000 3.937
Co 0.000 1.798 5.006
Co 1.798 0.000 5.006
Nd 0.000 0.000 12.629
Nd 0.000 0.000 7.396
N 0.000 0.000 17.490
N 0.000 0.000 10.012
N 0.000 0.000 2.535
```

---

No. 5
A plane-wave DFT calculation with PBE was carried out for a geometry-optimized LaPrCo2C4 structure.

Geometry as extended XYZ:
```
8
Lattice="3.842 0.000 0.000 -0.004 3.843 0.000 -1.105 -1.083 7.257" Properties=species:S:1:pos:R:3 pbc="T T T"
La 3.004 -0.260 3.636
C 1.117 0.546 6.727
C 1.077 1.687 3.090
C 1.109 -0.279 5.628
C 0.258 1.671 1.984
Pr 0.280 3.559 0.013
Co 2.187 1.661 1.411
Co 1.103 1.652 5.043
```

---

No. 6
A plane-wave DFT calculation with PBE was carried out for a geometry-optimized LaYCo2Sn2C structure.

Geometry as extended XYZ:
```
7
Lattice="-2.485 3.201 4.318 -5.182 2.681 1.015 0.928 -7.216 0.378" Properties=species:S:1:pos:R:3 pbc="T T T"
Y -3.262 1.369 2.447
C -7.629 5.809 5.313
Sn -0.751 -3.296 1.132
Sn -5.999 2.018 4.579
La -3.515 -2.681 3.291
Co -5.570 -0.627 4.646
Co -1.158 -0.715 1.058
```

---

Per-record E, eV per atom: -7.9056, -7.9769, -7.9621, -7.9495, -7.8645, -6.5859